[1]
# CsNaC2

An optimized crystal structure of CsNaC2 (PBE-GGA, Alexandria).

abc: 6.600 6.943 8.417
angles: 90.00 90.00 90.00
Positions (direct):
Cs 0.750 0.537 0.344
Cs 0.250 0.463 0.656
Cs 0.250 0.963 0.344
Cs 0.750 0.037 0.656
Na 0.500 0.750 0.963
Na 0.000 0.250 0.037
Na 0.500 0.250 0.037
Na 0.000 0.750 0.963
C 0.750 0.559 0.746
C 0.250 0.441 0.254
C 0.250 0.941 0.746
C 0.750 0.059 0.254
C 0.750 0.459 0.872
C 0.250 0.541 0.128
C 0.250 0.041 0.872
C 0.750 0.959 0.128

Uncorrected energy = -4.90 eV/atom
Formation energy from the elements = 1.0 eV per formula unit
Polymorph energy (0 for the lowest one) = 0 meV per atom



[2]
# CsNaC2

An optimized crystal structure of CsNaC2 (PBE-GGA, Alexandria).

abc: 4.185 4.185 9.512
angles: 77.29 77.29 90.00
Positions (direct):
Cs 0.000 0.000 0.000
Cs 0.750 0.250 0.500
Na 0.500 0.500 0.000
Na 0.250 0.750 0.500
C 0.375 0.125 0.250
C 0.375 0.625 0.250
C 0.375 0.625 0.750
C 0.875 0.625 0.750

Uncorrected energy = -3.05 eV/atom
Formation energy from the elements = 8.4 eV per formula unit
Polymorph energy (0 for the lowest one) = 1847 meV per atom



[3]
# CsNaC2

An optimized crystal structure of CsNaC2 (PBE-GGA, Alexandria).

abc: 4.891 4.891 4.891
angles: 60.00 60.00 60.00
Positions (direct):
Cs 0.500 0.500 0.500
Na 0.000 0.000 0.000
C 0.250 0.250 0.250
C 0.750 0.750 0.750

Uncorrected energy = -2.48 eV/atom
Formation energy from the elements = 10.7 eV per formula unit
Polymorph energy (0 for the lowest one) = 2418 meV per atom



[4]
# Cs3NaC

An optimized crystal structure of Cs3NaC (PBE-GGA, Alexandria).

abc: 6.441 6.441 6.441
angles: 90.00 90.00 90.00
Positions (direct):
Cs 0.000 0.500 0.000
Cs 0.000 0.000 0.500
Cs 0.500 0.000 0.000
Na 0.500 0.500 0.500
C 0.000 0.000 0.000

Uncorrected energy = -1.67 eV/atom
Formation energy from the elements = 4.7 eV per formula unit
Polymorph energy (0 for the lowest one) = 0 meV per atom



[5]
# Cs2NaC

An optimized crystal structure of Cs2NaC (PBE-GGA, Alexandria).

abc: 6.471 6.471 6.471
angles: 60.00 60.00 60.00
Last column: magnetic moment on the atom in μB.
Positions (direct):
Cs 0.250 0.250 0.250  0.03
Cs 0.750 0.750 0.750  0.03
Na 0.500 0.500 0.500  0.03
C 0.000 0.000 0.000  1.06

Uncorrected energy = -1.73 eV/atom
Formation energy from the elements = 5.3 eV per formula unit



[6]
# Cs3NaC2O6

An optimized crystal structure of Cs3NaC2O6 (PBE-GGA, Alexandria).

abc: 6.066 6.066 7.432
angles: 90.00 90.00 120.00
Positions (direct):
Cs 0.333 0.667 0.715
Cs 0.667 0.333 0.285
Cs 0.000 0.000 0.000
Na 0.000 0.000 0.500
C 0.667 0.333 0.710
C 0.333 0.667 0.290
O 0.583 0.791 0.291
O 0.209 0.417 0.291
O 0.209 0.791 0.291
O 0.791 0.583 0.709
O 0.417 0.209 0.709
O 0.791 0.209 0.709

Formation energy from raw total energies = -1.695 eV per atom
Uncorrected energy = -6.03 eV/atom



[7]
# Cs2NaC2S6

An optimized crystal structure of Cs2NaC2S6 (PBE-GGA, Alexandria).

abc: 6.278 7.470 9.063
angles: 111.38 90.00 114.85
Positions (direct):
Cs 0.681 0.362 0.191
Cs 0.319 0.638 0.809
Na 0.500 0.000 0.500
C 0.992 0.984 0.726
C 0.008 0.016 0.274
S 0.856 0.712 0.621
S 0.172 0.875 0.218
S 0.296 0.125 0.782
S 0.828 0.125 0.782
S 0.704 0.875 0.218
S 0.144 0.288 0.379

Formation energy from raw total energies = -0.383 eV per atom
Uncorrected energy = -4.59 eV/atom



[8]
# Cs2NaYC

An optimized crystal structure of Cs2NaYC (PBE-GGA, Alexandria).

abc: 7.386 4.499 7.386
angles: 90.00 90.00 90.00
Last column: magnetic moment on the atom in μB.
Positions (direct):
Cs 0.000 0.000 0.500  0.02
Cs 0.500 0.000 0.000  0.01
Y 0.000 0.500 0.000  0.14
C 0.000 0.000 0.000  0.00
Na 0.500 0.500 0.500  0.00

Uncorrected energy = -3.07 eV/atom
Formation energy from the elements = 3.4 eV per formula unit



Density of states at the Fermi level values (in states/eV per atom) by entry order: 0.00 0.40 0.91 1.06 0.27 0.00 0.51 0.64.
M_tot values (in μB/cell) by entry order: 0.0 0.0 0.0 0.0 3.0 0.0 0.0 0.6.